Entry 1:
Compound: K2SbHPb
Source: Alexandria
Functional: GGA-PBE
Structure: optimized geometry Values from VASP.

Geometry as Quantum ESPRESSO input:
```
&SYSTEM
  ibrav = 0, nat = 5, ntyp = 4
/
ATOMIC_SPECIES
K 39.10 K.upf
Pb 207.20 Pb.upf
Sb 121.76 Sb.upf
H 1.01 H.upf
ATOMIC_POSITIONS crystal
K 0.0000 0.5000 0.0000
K 0.5000 0.0000 0.0000
Pb 0.0000 0.0000 0.5000
Sb 0.5000 0.5000 0.5000
H 0.0000 0.0000 0.0000
CELL_PARAMETERS angstrom
-4.5643 -0.2945 -2.1893
-0.3228 -4.8826 1.3298
-2.3018 1.4077 4.6095
```

Output
Its total energy is -14.1 eV per cell. As for the space-group type: P4/mmm.

Entry 2:
Compound: CaLaSc2Mn
Source: Alexandria
Functional: GGA-PBE
Structure: optimized geometry Values from VASP.

Geometry as Quantum ESPRESSO input:
```
&SYSTEM
  ibrav = 0, nat = 5, ntyp = 4
/
ATOMIC_SPECIES
Mn 54.94 Mn.upf
La 138.91 La.upf
Sc 44.96 Sc.upf
Ca 40.08 Ca.upf
ATOMIC_POSITIONS crystal
Mn 0.0000 0.0000 0.0000
La 0.0000 0.0000 0.5000
Sc 0.0000 0.5000 0.0000
Sc 0.5000 0.0000 0.0000
Ca 0.5000 0.5000 0.5000
CELL_PARAMETERS angstrom
-2.2094 4.3706 1.5566
-2.8158 0.1071 -4.2973
-3.7358 -2.7360 2.3797
```

Output
Its total energy is -28.0 eV per cell. As for the space-group type: P4/mmm. As for the energy relative to the elements: 0.157 eV per atom.

Entry 3:
Compound: LiYMnRu
Source: Alexandria
Functional: GGA-PBE
Structure: optimized geometry Values from VASP.

Geometry as Quantum ESPRESSO input:
```
&SYSTEM
  ibrav = 0, nat = 4, ntyp = 4
/
ATOMIC_SPECIES
Mn 54.94 Mn.upf
Y 88.91 Y.upf
Ru 101.07 Ru.upf
Li 6.94 Li.upf
ATOMIC_POSITIONS crystal
Mn 0.7500 0.7500 0.7500
Y 0.2500 0.2500 0.2500
Ru 0.5000 0.5000 0.5000
Li 0.0000 0.0000 0.0000
CELL_PARAMETERS angstrom
-0.4787 -1.5481 4.3361
-2.2567 -3.9600 0.8079
2.3308 -3.7503 1.3892
```

Output
Its total energy is -26.6 eV per cell. As for the space-group type: F-43m. As for the energy relative to the elements: 0.048 eV per atom.

Entry 4:
Compound: Dy3HN2
Source: Alexandria
Functional: GGA-PBE
Structure: optimized geometry Values from VASP.

Geometry as Quantum ESPRESSO input:
```
&SYSTEM
  ibrav = 0, nat = 12, ntyp = 3
/
ATOMIC_SPECIES
H 1.01 H.upf
Dy 162.50 Dy.upf
N 14.01 N.upf
ATOMIC_POSITIONS crystal
H 0.2328 0.4657 0.2500
H 0.7672 0.5343 0.7500
Dy 0.3853 0.7705 0.5793
Dy 0.8982 0.7964 0.2500
Dy 0.6147 0.2295 0.4207
Dy 0.1018 0.2036 0.7500
Dy 0.3853 0.7705 0.9207
Dy 0.6147 0.2295 0.0793
N 0.0000 0.0000 0.0000
N 0.0000 0.0000 0.5000
N 0.4873 0.9746 0.7500
N 0.5127 0.0254 0.2500
CELL_PARAMETERS angstrom
3.4265 0.0000 0.0000
-1.7133 5.8834 0.0000
0.0000 0.0000 10.7240
```

Output
Its total energy is -79.5 eV per cell. As for the space-group type: Cmcm.

Entry 5:
Compound: HPd3Pt
Source: Alexandria
Functional: GGA-PBE
Structure: optimized geometry Values from VASP.

Geometry as Quantum ESPRESSO input:
```
&SYSTEM
  ibrav = 0, nat = 10, ntyp = 3
/
ATOMIC_SPECIES
Pd 106.42 Pd.upf
Pt 195.08 Pt.upf
H 1.01 H.upf
ATOMIC_POSITIONS crystal
Pd 0.6247 0.4674 0.4831
Pd 0.1157 0.4641 0.4857
Pd 0.1180 0.4760 0.9570
Pd 0.5370 0.9690 0.8142
Pd 0.6185 0.4640 0.9768
Pd 0.5414 0.9736 0.3057
Pt 0.0338 0.9448 0.8410
Pt 0.0398 0.9699 0.3135
H 0.1948 0.3111 0.4533
H 0.5841 0.7353 0.8569
CELL_PARAMETERS angstrom
5.6140 -0.0230 0.0046
-5.6399 6.7750 -0.0142
-2.8013 3.4556 3.4291
```

Output
Its total energy is -49.9 eV per cell. As for the space-group type: P1.

Entry 6:
Compound: SrAcMnN4
Source: Alexandria
Functional: GGA-PBE
Structure: optimized geometry Values from VASP.

Geometry as Quantum ESPRESSO input:
```
&SYSTEM
  ibrav = 0, nat = 14, ntyp = 4
/
ATOMIC_SPECIES
Ac 227.00 Ac.upf
N 14.01 N.upf
Mn 54.94 Mn.upf
Sr 87.62 Sr.upf
ATOMIC_POSITIONS crystal
Ac 0.7665 0.7500 0.4648
Ac 0.2335 0.2500 0.5352
N 0.5702 0.2500 0.8370
N 0.9590 0.4975 0.7599
N 0.6509 0.2500 0.4902
N 0.0410 0.9975 0.2401
N 0.0410 0.5025 0.2401
N 0.4298 0.7500 0.1630
N 0.3491 0.7500 0.5098
N 0.9590 0.0025 0.7599
Mn 0.2174 0.7500 0.2819
Mn 0.7826 0.2500 0.7181
Sr 0.7402 0.7500 0.9598
Sr 0.2598 0.2500 0.0402
CELL_PARAMETERS angstrom
-3.8344 3.9215 2.1191
-4.1439 -3.1586 -1.6531
1.2115 -4.6604 5.8677
```

Output
Its total energy is -106.8 eV per cell. As for the space-group type: P2_1/m. Its uncorrected formation energy is -0.734 eV/atom.